(1)
{
  "formula": "TiAlZn",
  "functional": "PBE-GGA",
  "state": "relaxed",
  "total_magnetization_mub_per_fu": 0.00,
  "delta_e_f_ev_per_atom": -0.234,
  "space_group": "P2_1/m",
  "lattice": [[-2.683, 0.285, -0.735], [0.967, -1.747, -4.209], [-2.741, -6.564, 2.094]],
  "species": ["Ti", "Ti", "Zn", "Zn", "Al", "Al"],
  "frac_coords": [[0.050, 0.750, 0.398], [0.950, 0.250, 0.602], [0.719, 0.750, 0.062], [0.281, 0.250, 0.938], [0.615, 0.250, 0.270], [0.385, 0.750, 0.730]]
}

=====

(2)
{
  "formula": "Rb2ZrMo",
  "functional": "PBE-GGA",
  "state": "relaxed",
  "total_magnetization_mub_per_fu": 1.85,
  "delta_e_f_ev_per_atom": 2.044,
  "e_above_lowest_polymorph_ev_per_fu": 2.40,
  "space_group": "Fm-3m",
  "lattice": [[-2.323, -4.277, 3.474], [-5.809, -1.358, -0.411], [-1.690, -5.210, -2.398]],
  "species": ["Mo", "Rb", "Rb", "Zr"],
  "frac_coords": [[0.500, 0.500, 0.500], [0.250, 0.250, 0.250], [0.750, 0.750, 0.750], [0.000, 0.000, 0.000]]
}

=====

(3)
{
  "formula": "SrCaSi2Ag",
  "functional": "PBE-GGA",
  "state": "relaxed",
  "total_magnetization_mub_per_fu": 0.00,
  "e_form_raw_mev_per_atom": 251,
  "space_group": "P4/mmm",
  "lattice": [[5.086, 0.000, 0.000], [0.000, 5.258, 0.000], [0.000, 0.000, 5.086]],
  "species": ["Sr", "Ca", "Si", "Si", "Ag"],
  "frac_coords": [[0.500, 0.500, 0.500], [0.000, 0.500, 0.000], [0.000, 0.000, 0.500], [0.500, 0.000, 0.000], [0.000, 0.000, 0.000]]
}

=====

(4)
{
  "formula": "Sn2PdPt",
  "functional": "PBE-GGA",
  "state": "relaxed",
  "total_magnetization_mub_per_fu": 0.00,
  "delta_e_f_ev_per_atom": -0.233,
  "e_above_lowest_polymorph_ev_per_fu": 0.98,
  "space_group": "I-42d",
  "lattice": [[-1.442, -0.768, -4.126], [1.406, -4.199, 0.291], [-7.814, -4.874, 1.251]],
  "species": ["Pt", "Pt", "Sn", "Sn", "Sn", "Sn", "Pd", "Pd"],
  "frac_coords": [[0.000, 0.000, 0.000], [0.750, 0.250, 0.500], [0.375, 0.376, 0.750], [0.875, 0.874, 0.750], [0.624, 0.125, 0.250], [0.126, 0.625, 0.250], [0.250, 0.750, 0.500], [0.500, 0.500, 0.000]]
}

=====

(5)
{
  "formula": "Y6TlRu",
  "functional": "PBE-GGA",
  "state": "relaxed",
  "total_magnetization_mub_per_fu": 0.00,
  "delta_e_f_ev_per_atom": -0.020,
  "space_group": "P-1",
  "lattice": [[-2.493, -5.467, -3.359], [3.841, -5.699, -0.629], [-1.989, -5.950, 4.163]],
  "species": ["Y", "Y", "Y", "Y", "Y", "Y", "Ru", "Tl"],
  "frac_coords": [[0.040, 0.416, 0.757], [0.584, 0.213, 0.243], [0.214, 0.961, 0.243], [0.786, 0.039, 0.757], [0.416, 0.787, 0.757], [0.960, 0.584, 0.243], [0.000, 0.000, 0.000], [0.500, 0.500, 0.500]]
}

=====

(6)
{
  "formula": "YP",
  "functional": "PBE-GGA",
  "state": "relaxed",
  "total_magnetization_mub_per_fu": 0.00,
  "delta_e_f_ev_per_atom": -1.150,
  "space_group": "Cmmm",
  "lattice": [[2.128, -2.821, 0.000], [2.128, 2.821, 0.000], [0.000, 0.000, 3.651]],
  "species": ["P", "Y"],
  "frac_coords": [[0.000, 0.000, 0.000], [0.500, 0.500, 0.500]]
}

=====

(7)
{
  "formula": "Cu2AgMo",
  "functional": "PBE-GGA",
  "state": "relaxed",
  "total_magnetization_mub_per_fu": 0.00,
  "delta_e_f_ev_per_atom": 0.286,
  "e_above_lowest_polymorph_ev_per_fu": 0.33,
  "space_group": "R-3m",
  "lattice": [[9.105, -0.013, -0.008], [8.694, 2.705, -0.008], [8.694, 1.315, 2.364]],
  "species": ["Mo", "Cu", "Cu", "Ag"],
  "frac_coords": [[0.250, 0.250, 0.250], [0.502, 0.502, 0.502], [0.998, 0.998, 0.998], [0.750, 0.750, 0.750]]
}

=====

(8)
{
  "formula": "SrCa2CdNi",
  "functional": "PBE-GGA",
  "state": "relaxed",
  "total_magnetization_mub_per_fu": 0.00,
  "delta_e_f_ev_per_atom": -0.074,
  "space_group": "P4/mmm",
  "lattice": [[-3.092, -1.273, 4.264], [4.441, -1.223, 2.855], [0.308, 5.414, 1.840]],
  "species": ["Cd", "Ca", "Ca", "Ni", "Sr"],
  "frac_coords": [[0.500, 0.500, 0.500], [0.000, 0.500, 0.000], [0.500, 0.000, 0.000], [0.000, 0.000, 0.000], [0.000, 0.000, 0.500]]
}

=====

(9)
{
  "formula": "HgS2ClF",
  "functional": "PBE-GGA",
  "state": "relaxed",
  "total_magnetization_mub_per_fu": 3.50,
  "e_form_raw_mev_per_atom": 648,
  "e_above_lowest_polymorph_ev_per_fu": 1.04,
  "space_group": "P4/mmm",
  "lattice": [[5.169, 0.000, 0.000], [0.000, 5.169, 0.000], [0.000, 0.000, 5.126]],
  "species": ["F", "S", "S", "Cl", "Hg"],
  "frac_coords": [[0.500, 0.500, 0.500], [0.500, 0.000, 0.000], [0.000, 0.500, 0.000], [0.000, 0.000, 0.500], [0.000, 0.000, 0.000]]
}

=====

(10)
{
  "formula": "B3TePb",
  "functional": "PBE-GGA",
  "state": "relaxed",
  "total_magnetization_mub_per_fu": 0.00,
  "e_form_raw_mev_per_atom": 2254,
  "e_above_lowest_polymorph_ev_per_fu": 1.38,
  "space_group": "Pm-3m",
  "lattice": [[4.706, 0.000, 0.000], [0.000, 4.706, 0.000], [0.000, 0.000, 4.706]],
  "species": ["Pb", "Te", "B", "B", "B"],
  "frac_coords": [[0.000, 0.000, 0.000], [0.500, 0.500, 0.500], [0.000, 0.000, 0.500], [0.500, 0.000, 0.000], [0.000, 0.500, 0.000]]
}

=====

(11)
{
  "formula": "Pr8Sm2Ho3",
  "functional": "PBE-GGA",
  "state": "relaxed",
  "total_magnetization_mub_per_fu": 0.00,
  "delta_e_f_ev_per_atom": 0.157,
  "e_above_lowest_polymorph_ev_per_fu": 0.00,
  "space_group": "C2/m",
  "lattice": [[0.543, -4.876, 3.761], [0.108, -7.242, -9.405], [6.363, 1.945, 6.067]],
  "species": ["Pr", "Pr", "Pr", "Pr", "Pr", "Pr", "Pr", "Pr", "Ho", "Ho", "Ho", "Sm", "Sm"],
  "frac_coords": [[0.106, 0.861, 0.723], [0.894, 0.139, 0.277], [0.345, 0.923, 0.324], [0.345, 0.401, 0.324], [0.758, 0.415, 0.830], [0.655, 0.599, 0.676], [0.242, 0.585, 0.170], [0.655, 0.077, 0.676], [0.500, 0.000, 0.000], [0.000, 0.733, 0.000], [0.000, 0.267, 0.000], [0.336, 0.311, 0.622], [0.664, 0.689, 0.378]]
}

=====

(12)
{
  "formula": "BeHgSb2",
  "functional": "PBE-GGA",
  "state": "relaxed",
  "total_magnetization_mub_per_fu": 0.00,
  "e_form_raw_mev_per_atom": 298,
  "e_above_lowest_polymorph_ev_per_fu": 0.45,
  "space_group": "P4mm",
  "lattice": [[3.583, 0.000, 0.000], [0.000, 3.583, 0.000], [0.000, 0.000, 7.769]],
  "species": ["Sb", "Sb", "Be", "Hg"],
  "frac_coords": [[0.500, 0.500, 0.406], [0.000, 0.000, 0.006], [0.000, 0.000, 0.322], [0.500, 0.500, 0.766]]
}

=====

(13)
{
  "formula": "Ba2Ag3Sn4Pd",
  "functional": "PBE-GGA",
  "state": "relaxed",
  "total_magnetization_mub_per_fu": 0.00,
  "delta_e_f_ev_per_atom": -0.451,
  "space_group": "P-4m2",
  "lattice": [[4.870, 0.000, 0.000], [0.000, 4.870, 0.000], [0.000, 0.000, 11.370]],
  "species": ["Ba", "Ba", "Ag", "Ag", "Ag", "Sn", "Sn", "Sn", "Sn", "Pd"],
  "frac_coords": [[0.500, 0.000, 0.258], [0.000, 0.500, 0.742], [0.000, 0.500, 0.138], [0.500, 0.000, 0.862], [0.000, 0.000, 0.500], [0.500, 0.000, 0.615], [0.500, 0.500, 0.000], [0.000, 0.000, 0.000], [0.000, 0.500, 0.385], [0.500, 0.500, 0.500]]
}

=====

(14)
{
  "formula": "YEr12Tm7",
  "functional": "PBE-GGA",
  "state": "relaxed",
  "total_magnetization_mub_per_fu": 0.00,
  "delta_e_f_ev_per_atom": 0.745,
  "e_above_lowest_polymorph_ev_per_fu": 8.55,
  "space_group": "Im-3m",
  "lattice": [[9.129, 0.000, -3.228], [-4.565, 7.906, -3.228], [0.000, 0.000, 9.683]],
  "species": ["Er", "Er", "Er", "Er", "Er", "Er", "Er", "Er", "Er", "Er", "Er", "Er", "Y", "Tm", "Tm", "Tm", "Tm", "Tm", "Tm", "Tm"],
  "frac_coords": [[0.746, 0.000, 0.254], [0.254, 0.000, 0.746], [0.746, 0.254, 0.000], [0.254, 0.254, 0.508], [0.000, 0.254, 0.746], [0.254, 0.746, 0.000], [0.746, 0.492, 0.746], [0.000, 0.746, 0.254], [0.492, 0.746, 0.746], [0.254, 0.508, 0.254], [0.508, 0.254, 0.254], [0.746, 0.746, 0.492], [0.000, 0.000, 0.000], [0.500, 0.000, 0.000], [0.000, 0.500, 0.000], [0.500, 0.500, 0.500], [0.500, 0.000, 0.500], [0.500, 0.500, 0.000], [0.000, 0.500, 0.500], [0.000, 0.000, 0.500]]
}

=====

(15)
{
  "formula": "Er2NiRu3",
  "functional": "PBE-GGA",
  "state": "relaxed",
  "total_magnetization_mub_per_fu": 0.00,
  "delta_e_f_ev_per_atom": -0.395,
  "space_group": "R-3m",
  "lattice": [[4.633, -0.135, -2.431], [-2.945, 4.321, -0.227], [-0.195, 0.143, 5.264]],
  "species": ["Ru", "Ru", "Ru", "Er", "Er", "Ni"],
  "frac_coords": [[0.500, 0.000, 0.500], [0.500, 0.500, 0.500], [0.000, 0.000, 0.500], [0.754, 0.377, 0.131], [0.246, 0.623, 0.869], [0.000, 0.000, 0.000]]
}

=====

(16)
{
  "formula": "TmHfTh",
  "functional": "PBE-GGA",
  "state": "relaxed",
  "total_magnetization_mub_per_fu": 0.00,
  "delta_e_f_ev_per_atom": 0.142,
  "e_above_lowest_polymorph_ev_per_fu": 0.09,
  "space_group": "P-6m2",
  "lattice": [[3.402, 0.000, 0.000], [0.000, 5.360, 0.000], [0.000, -2.680, 4.642]],
  "species": ["Tm", "Th", "Hf"],
  "frac_coords": [[0.167, 0.000, 0.000], [0.667, 0.667, 0.333], [0.167, 0.333, 0.667]]
}

=====

(17)
{
  "formula": "La4PmAu",
  "functional": "PBE-GGA",
  "state": "relaxed",
  "total_magnetization_mub_per_fu": 0.00,
  "delta_e_f_ev_per_atom": -0.248,
  "e_above_lowest_polymorph_ev_per_fu": 0.00,
  "space_group": "P4/mmm",
  "lattice": [[3.793, -0.001, 0.000], [0.001, 3.793, 0.000], [-0.001, -0.001, 13.750]],
  "species": ["La", "La", "La", "La", "Au", "Pm"],
  "frac_coords": [[0.500, 0.500, 0.818], [0.000, 0.000, 0.633], [0.500, 0.500, 0.182], [0.000, 0.000, 0.367], [0.500, 0.500, 0.500], [0.000, 0.000, 0.000]]
}

=====

(18)
{
  "formula": "K2ZnSbTe",
  "functional": "PBE-GGA",
  "state": "relaxed",
  "total_magnetization_mub_per_fu": 1.00,
  "e_form_raw_mev_per_atom": -122,
  "space_group": "P4/mmm",
  "lattice": [[6.780, 0.000, 0.000], [0.000, 4.839, 0.000], [0.000, 0.000, 6.780]],
  "species": ["Sb", "Zn", "Te", "K", "K"],
  "frac_coords": [[0.000, 0.000, 0.000], [0.000, 0.500, 0.000], [0.500, 0.500, 0.500], [0.000, 0.000, 0.500], [0.500, 0.000, 0.000]]
}

=====

(19)
{
  "formula": "Er3Al2Tl",
  "functional": "PBE-GGA",
  "state": "relaxed",
  "total_magnetization_mub_per_fu": 0.00,
  "delta_e_f_ev_per_atom": -0.364,
  "space_group": "P4/mmm",
  "lattice": [[3.599, 0.000, 0.000], [0.000, 3.599, 0.000], [0.000, 0.000, 11.182]],
  "species": ["Er", "Er", "Er", "Tl", "Al", "Al"],
  "frac_coords": [[0.000, 0.000, 0.317], [0.000, 0.000, 0.000], [0.000, 0.000, 0.683], [0.500, 0.500, 0.500], [0.500, 0.500, 0.842], [0.500, 0.500, 0.158]]
}

=====

(20)
{
  "formula": "BaLa3Ge",
  "functional": "PBE-GGA",
  "state": "relaxed",
  "total_magnetization_mub_per_fu": 0.00,
  "delta_e_f_ev_per_atom": 0.867,
  "e_above_lowest_polymorph_ev_per_fu": 5.01,
  "space_group": "Pm-3m",
  "lattice": [[-1.530, -0.684, -5.569], [1.447, -5.625, 0.293], [-5.421, -1.309, 1.650]],
  "species": ["La", "La", "La", "Ba", "Ge"],
  "frac_coords": [[0.000, 0.500, 0.000], [0.500, 0.000, 0.000], [0.000, 0.000, 0.500], [0.000, 0.000, 0.000], [0.500, 0.500, 0.500]]
}